No. 1
## Sm2Ho (GGA-PBE)

Data for Sm2Ho after structural relaxation.

Output
For the polymorph energy (0 for the lowest one), the calculation gives 243.1 meV per atom. The density of states at the Fermi level comes out at 9.632 states/eV/cell. The total energy comes out at -26.46 eV for the cell shown. The energy relative to the elements comes out at 0.26 eV per atom.

abc: 6.6190 6.6190 6.6190
angles: 60.00 60.00 60.00
Sites, in units of the cell vectors:
Sm  0.0000  0.0000  0.0000
Sm  0.0000  0.0000  0.5000
Sm  0.0000  0.5000  0.0000
Sm  0.5000  0.0000  0.0000
Ho  0.3750  0.3750  0.3750
Ho  0.6250  0.6250  0.6250

=====

No. 2
## TcRh2 (GGA-PBE)

Data for TcRh2 after structural relaxation.

Output
For the polymorph energy (0 for the lowest one), the calculation gives 0.0 meV per atom. The density of states at the Fermi level comes out at 4.935 states/eV/cell. The total energy comes out at -51.01 eV for the cell shown. The energy relative to the elements comes out at -0.15 eV per atom.

abc: 7.2561 7.2561 4.3683
angles: 90.00 90.00 158.28
Sites, in units of the cell vectors:
Tc  0.1127  0.8873  0.7500
Tc  0.8873  0.1127  0.2500
Rh  0.2245  0.7755  0.2500
Rh  0.4458  0.5542  0.7500
Rh  0.5542  0.4458  0.2500
Rh  0.7755  0.2245  0.7500

=====

No. 3
## PrErTlNi (GGA-PBE)

Data for PrErTlNi after structural relaxation.

Output
The density of states at the Fermi level comes out at 4.679 states/eV/cell. The total energy comes out at -18.27 eV for the cell shown. The energy relative to the elements comes out at -0.19 eV per atom.

abc: 5.2041 5.2041 5.2041
angles: 60.00 60.00 60.00
Sites, in units of the cell vectors:
Pr  0.0000  0.0000  0.0000
Er  0.5000  0.5000  0.5000
Tl  0.7500  0.7500  0.7500
Ni  0.2500  0.2500  0.2500

=====

No. 4
## KLiSc (GGA-PBE)

Data for KLiSc after structural relaxation.

Output
For the polymorph energy (0 for the lowest one), the calculation gives 596.7 meV per atom. The density of states at the Fermi level comes out at 6.519 states/eV/cell. The total energy comes out at -6.29 eV for the cell shown. The energy relative to the elements comes out at 1.02 eV per atom.

abc: 5.6589 5.6589 5.6589
angles: 60.00 60.00 60.00
Sites, in units of the cell vectors:
K  0.0000  0.0000  0.0000
Li  0.5000  0.5000  0.5000
Sc  0.7500  0.7500  0.7500

=====

No. 5
## LaLuGaPd (GGA-PBE)

Data for LaLuGaPd after structural relaxation.

Output
The density of states at the Fermi level comes out at 3.266 states/eV/cell. The total energy comes out at -20.27 eV for the cell shown. The energy relative to the elements comes out at -0.65 eV per atom.

abc: 5.1121 5.1121 5.1121
angles: 60.00 60.00 60.00
Sites, in units of the cell vectors:
La  0.0000  0.0000  0.0000
Lu  0.5000  0.5000  0.5000
Ga  0.2500  0.2500  0.2500
Pd  0.7500  0.7500  0.7500

=====

No. 6
## KGaAg2F6 (GGA-PBE)

Data for KGaAg2F6 after structural relaxation.

Output
The value obtained for the raw formation energy is -2.05 eV/atom. The density of states at the Fermi level comes out at 0.000 states/eV/cell. The total energy comes out at -83.12 eV for the cell shown.

abc: 5.9159 6.2205 10.3494
angles: 90.00 124.70 90.00
Sites, in units of the cell vectors:
K  0.0000  0.0000  0.0000
K  0.0000  0.5000  0.5000
Ga  0.5000  0.0000  0.5000
Ga  0.5000  0.5000  0.0000
Ag  0.2244  0.0443  0.7374
Ag  0.2244  0.4557  0.2374
Ag  0.7756  0.5443  0.7626
Ag  0.7756  0.9557  0.2626
F  0.1920  0.1583  0.4628
F  0.1920  0.3417  0.9628
F  0.2589  0.7471  0.9012
F  0.2589  0.7529  0.4012
F  0.4174  0.0969  0.2980
F  0.4174  0.4031  0.7980
F  0.5826  0.5969  0.2020
F  0.5826  0.9031  0.7020
F  0.7411  0.2471  0.5988
F  0.7411  0.2529  0.0988
F  0.8080  0.6583  0.0372
F  0.8080  0.8417  0.5372